# 1
Below is a relaxed structure of Ac2TbGe3, with properties calculated at the PBE level.

a = 5.0813 Å, b = 6.2376 Å, c = 7.0230 Å
α = 116.36°, β = 111.21°, γ = 90.00°
Last column: nearest neighbours and their distance in Å.
Fractional coordinates of all 6 atoms:
Ac (0.6743, 0.1743, 0.3485)  6 Ge 3.17-3.45
Ac (0.3257, 0.8257, 0.6515)  6 Ge 3.17-3.45
Tb (0.0000, 0.5000, 0.0000)  6 Ge 2.91-3.12
Ge (0.3774, 0.3774, 0.7548)  1 Ge 2.82, 2 Tb 2.91
Ge (0.0000, 0.0000, 0.0000)  2 Tb 3.12, 4 Ac 3.24
Ge (0.6226, 0.6226, 0.2452)  1 Ge 2.82, 2 Tb 2.91

Properties
- Symmetry: Immm, No. 71
- D(E_F): 5.46 states/eV/cell
- ΔH_f (0 K): -57.4 kJ per mole of atoms
- Crystal system: orthorhombic

# 2
Below is a relaxed structure of AcTb2Ge, with properties calculated at the PBE level.

a = 4.0864 Å, b = 4.0864 Å, c = 9.7402 Å
α = 77.89°, β = 77.89°, γ = 60.00°
Last column: nearest neighbours and their distance in Å.
Fractional coordinates of all 4 atoms:
Ac (0.5022, 0.5022, 0.4935)  6 Tb 3.84-3.97, 6 Ac 4.09
Tb (0.0564, 0.0564, 0.8308)  3 Ge 2.87
Tb (0.2759, 0.2759, 0.1723)  3 Ge 2.85
Ge (0.6656, 0.6656, 0.0033)  6 Tb 2.85-2.87

Properties
- Symmetry: R3m, No. 160
- D(E_F): 4.27 states/eV/cell
- ΔE to the lowest computed polymorph: 0 meV per atom
- ΔH_f (0 K): -28.3 kJ per mole of atoms
- Crystal system: trigonal

# 3
Below is a relaxed structure of AcTbGe2, with properties calculated at the PBE level.

a = 3.9140 Å, b = 3.9140 Å, c = 6.7566 Å
α = 90.00°, β = 90.00°, γ = 90.00°
Last column: nearest neighbours and their distance in Å.
Fractional coordinates of all 4 atoms:
Ac (0.5000, 0.5000, 0.0000)  2 Tb 3.38, 8 Ge 3.43
Tb (0.5000, 0.5000, 0.5000)  8 Ge 3.08, 2 Ac 3.38
Ge (0.0000, 0.0000, 0.6993)  1 Ge 2.69
Ge (0.0000, 0.0000, 0.3007)  1 Ge 2.69

Properties
- Symmetry: P4/mmm, No. 123
- D(E_F): 3.09 states/eV/cell
- ΔH_f (0 K): -61.3 kJ per mole of atoms
- Crystal system: tetragonal

# 4
Below is a relaxed structure of Ac12TbGe7, with properties calculated at the PBE level.

a = 9.9029 Å, b = 9.9029 Å, c = 9.9029 Å
α = 107.46°, β = 107.46°, γ = 107.46°
Last column: nearest neighbours and their distance in Å.
Fractional coordinates of all 20 atoms:
Ac (0.9252, 0.3103, 0.7742)  3 Ge 3.09-3.17
Ac (0.6897, 0.2258, 0.0748)  3 Ge 3.09-3.17
Ac (0.4583, 0.1515, 0.3781)  3 Ge 3.11-3.14
Ac (0.8485, 0.6219, 0.5417)  3 Ge 3.11-3.14
Ac (0.2258, 0.0748, 0.6897)  3 Ge 3.09-3.17
Ac (0.6219, 0.5417, 0.8485)  3 Ge 3.11-3.14
Ac (0.3781, 0.4583, 0.1515)  3 Ge 3.11-3.14
Ac (0.7742, 0.9252, 0.3103)  3 Ge 3.09-3.17
Ac (0.1515, 0.3781, 0.4583)  3 Ge 3.11-3.14
Ac (0.5417, 0.8485, 0.6219)  3 Ge 3.11-3.14
Ac (0.3103, 0.7742, 0.9252)  3 Ge 3.09-3.17
Ac (0.0748, 0.6897, 0.2258)  3 Ge 3.09-3.17
Tb (0.0000, 0.0000, 0.0000)  6 Ge 3.07
Ge (0.9657, 0.6614, 0.8873)  1 Tb 3.07, 5 Ac 3.09-3.17
Ge (0.3386, 0.1127, 0.0343)  1 Tb 3.07, 5 Ac 3.09-3.17
Ge (0.1127, 0.0343, 0.3386)  1 Tb 3.07, 5 Ac 3.09-3.17
Ge (0.5000, 0.5000, 0.5000)  6 Ac 3.14
Ge (0.8873, 0.9657, 0.6614)  1 Tb 3.07, 5 Ac 3.09-3.17
Ge (0.6614, 0.8873, 0.9657)  1 Tb 3.07, 5 Ac 3.09-3.17
Ge (0.0343, 0.3386, 0.1127)  1 Tb 3.07, 5 Ac 3.09-3.17

Properties
- Symmetry: R-3, No. 148
- D(E_F): 23.28 states/eV/cell
- ΔH_f (0 K): -39.6 kJ per mole of atoms
- Crystal system: trigonal

Q: Which of these has the highest ΔH_f (0 K)?
A: AcTb2Ge

Q: Look up the D(E_F) of the first one.
A: 5.46 states/eV/cell

Q: Number 1 is which compound?
A: Ac2TbGe3

Q: The highest D(E_F) belongs to which entry?
A: Ac12TbGe7